# 1
CoPC3: optimized geometry, GGA-PBE.

Structure (POSCAR):
```
CoPC3
1.0
3.572 0.000 0.000
0.000 3.572 0.000
0.000 0.000 3.572
P C Co
1 3 1
Direct
0.000 0.000 0.000
0.000 0.500 0.000
0.000 0.000 0.500
0.500 0.000 0.000
0.500 0.500 0.500
```

## Properties
energy relative to the elements	2107	meV/atom
energy above the most stable polymorph in this dataset	0.0	kJ/mol of formula units
space group	Pm-3m, No. 221


# 2
Co2PC: optimized geometry, GGA-PBE.

Structure (POSCAR):
```
Co2PC
1.0
0.000 2.679 2.679
2.679 0.000 2.679
2.679 2.679 0.000
P C Co
1 1 2
Direct
0.500 0.500 0.500
0.000 0.000 0.000
0.250 0.250 0.250
0.750 0.750 0.750
```

## Properties
energy relative to the elements	676	meV/atom
energy above the most stable polymorph in this dataset	192.2	kJ/mol of formula units
space group	Fm-3m, No. 225


# 3
Co2PC: optimized geometry, GGA-PBE.

Structure (POSCAR):
```
Co2PC
1.0
4.577 0.000 0.000
0.000 4.577 0.000
2.289 2.289 4.634
P C Co
2 2 4
Direct
0.000 0.000 0.000
0.750 0.250 0.500
0.500 0.500 0.000
0.250 0.750 0.500
0.560 0.125 0.250
0.190 0.625 0.250
0.375 0.440 0.750
0.875 0.810 0.750
```

## Properties
energy relative to the elements	178	meV/atom
energy above the most stable polymorph in this dataset	0.0	kJ/mol of formula units
space group	I-42d, No. 122


# 4
CoP2C: optimized geometry, GGA-PBE.

Structure (POSCAR):
```
CoP2C
1.0
-4.720 -0.333 -0.974
1.029 -1.585 -4.445
-1.857 -4.938 -1.293
P C Co
4 2 2
Direct
0.583 0.125 0.250
0.167 0.625 0.250
0.375 0.417 0.750
0.875 0.833 0.750
0.500 0.500 0.000
0.250 0.750 0.500
0.000 0.000 0.000
0.750 0.250 0.500
```

## Properties
energy relative to the elements	133	meV/atom
space group	I-42d, No. 122